No. 1
Density functional theory data (PBE) for crystalline Mn3AgS at its relaxed geometry. Values from VASP.

Cell and atoms, written as Quantum ESPRESSO input:
```
&SYSTEM
  ibrav = 0, nat = 5, ntyp = 3
/
ATOMIC_SPECIES
S 32.06 S.upf
Mn 54.94 Mn.upf
Ag 107.87 Ag.upf
CELL_PARAMETERS angstrom
-3.234 -2.774 0.864
2.877 -2.875 1.535
-0.408 1.713 3.974
ATOMIC_POSITIONS crystal
S 0.000 0.000 0.000
Mn 0.000 0.500 0.000
Mn 0.000 0.000 0.500
Mn 0.500 0.000 0.000
Ag 0.500 0.500 0.500
```

Summary:
Raw formation energy ... 0.185 eV/atom
E ... -6.71 eV/atom
SG ... No. 221
Theoretical density ... 6.2 g/cm3
Polymorph energy (0 for the lowest one) ... 0.000 eV/atom
Density of states at the Fermi level ... 0.339 states/eV per atom

=====

No. 2
Density functional theory data (PBE) for crystalline Tl2PtW at its relaxed geometry. Values from VASP.

Cell and atoms, written as Quantum ESPRESSO input:
```
&SYSTEM
  ibrav = 0, nat = 4, ntyp = 3
/
ATOMIC_SPECIES
Pt 195.08 Pt.upf
Tl 204.38 Tl.upf
W 183.84 W.upf
CELL_PARAMETERS angstrom
2.986 0.000 0.000
0.000 2.986 0.000
0.000 0.000 8.747
ATOMIC_POSITIONS crystal
Pt 0.500 0.500 0.750
Tl 0.000 0.000 0.992
Tl 0.000 0.000 0.508
W 0.500 0.500 0.250
```

Summary:
E_form ... 0.7496 eV per atom
E ... -5.18 eV/atom
SG ... No. 123
Theoretical density ... 16.8 g/cm3
Polymorph energy (0 for the lowest one) ... 0.409 eV/atom
Density of states at the Fermi level ... 0.593 states/eV per atom

=====

No. 3
Density functional theory data (PBE) for crystalline NaPr2Mg2In5 at its relaxed geometry. Values from VASP.

Cell and atoms, written as Quantum ESPRESSO input:
```
&SYSTEM
  ibrav = 0, nat = 20, ntyp = 4
/
ATOMIC_SPECIES
Na 22.99 Na.upf
Pr 140.91 Pr.upf
Mg 24.30 Mg.upf
In 114.82 In.upf
CELL_PARAMETERS angstrom
4.543 0.000 0.000
0.000 10.747 0.000
0.000 0.000 10.747
ATOMIC_POSITIONS crystal
Na 0.000 0.000 0.000
Na 0.000 0.500 0.500
Pr 0.000 0.677 0.177
Pr 0.000 0.323 0.823
Pr 0.000 0.177 0.323
Pr 0.000 0.823 0.677
Mg 0.000 0.119 0.619
Mg 0.000 0.881 0.381
Mg 0.000 0.619 0.881
Mg 0.000 0.381 0.119
In 0.500 0.204 0.066
In 0.500 0.796 0.934
In 0.500 0.066 0.796
In 0.500 0.704 0.434
In 0.500 0.934 0.204
In 0.500 0.296 0.566
In 0.500 0.566 0.704
In 0.500 0.434 0.296
In 0.500 0.500 0.000
In 0.500 0.000 0.500
```

Summary:
E_form ... -0.2654 eV per atom
E ... -3.04 eV/atom
SG ... No. 127
Theoretical density ... 5.9 g/cm3
Density of states at the Fermi level ... 0.368 states/eV per atom

=====

No. 4
Density functional theory data (PBE) for crystalline Pr4SnPb at its relaxed geometry. Values from VASP.

Cell and atoms, written as Quantum ESPRESSO input:
```
&SYSTEM
  ibrav = 0, nat = 12, ntyp = 3
/
ATOMIC_SPECIES
Pr 140.91 Pr.upf
Sn 118.71 Sn.upf
Pb 207.20 Pb.upf
CELL_PARAMETERS angstrom
-3.376 -1.286 -5.203
0.083 -7.302 5.225
-4.414 6.626 3.345
ATOMIC_POSITIONS crystal
Pr 0.066 0.223 0.835
Pr 0.770 0.702 0.623
Pr 0.270 0.613 0.835
Pr 0.353 0.921 0.623
Pr 0.647 0.079 0.377
Pr 0.730 0.387 0.165
Pr 0.230 0.298 0.377
Pr 0.934 0.777 0.165
Sn 0.252 0.002 0.004
Sn 0.748 0.998 0.996
Pb 0.369 0.619 0.238
Pb 0.631 0.381 0.762
```

Summary:
E_form ... -0.4531 eV per atom
E ... -4.92 eV/atom
SG ... No. 15
Theoretical density ... 7.5 g/cm3
Density of states at the Fermi level ... 1.214 states/eV per atom

=====

No. 5
Density functional theory data (PBE) for crystalline Ac8Ir3AuSe4 at its relaxed geometry. Values from VASP.

Cell and atoms, written as Quantum ESPRESSO input:
```
&SYSTEM
  ibrav = 0, nat = 16, ntyp = 4
/
ATOMIC_SPECIES
Ac 227.00 Ac.upf
Ir 192.22 Ir.upf
Au 196.97 Au.upf
Se 78.96 Se.upf
CELL_PARAMETERS angstrom
-3.443 -5.343 -5.976
7.227 1.493 -5.499
1.495 -2.894 8.094
ATOMIC_POSITIONS crystal
Ac 0.248 0.727 0.978
Ac 0.248 0.726 0.496
Ac 0.259 0.277 0.518
Ac 0.730 0.727 0.978
Ac 0.270 0.273 0.022
Ac 0.741 0.723 0.482
Ac 0.752 0.274 0.504
Ac 0.752 0.273 0.022
Ir 0.500 0.500 0.000
Ir 0.500 0.500 0.500
Ir 0.000 0.500 0.500
Au 0.000 0.500 0.000
Se 0.500 0.000 0.000
Se 0.500 0.000 0.500
Se 0.000 0.000 0.000
Se 0.000 0.000 0.500
```

Summary:
Raw formation energy ... -1.284 eV/atom
E ... -6.08 eV/atom
SG ... No. 166
Theoretical density ... 9.5 g/cm3
Density of states at the Fermi level ... 0.741 states/eV per atom

=====

No. 6
Density functional theory data (PBE) for crystalline Mn2NiGe at its relaxed geometry. Values from VASP.

Cell and atoms, written as Quantum ESPRESSO input:
```
&SYSTEM
  ibrav = 0, nat = 8, ntyp = 3
/
ATOMIC_SPECIES
Ni 58.69 Ni.upf
Ge 72.64 Ge.upf
Mn 54.94 Mn.upf
CELL_PARAMETERS angstrom
6.622 0.000 0.000
0.000 6.622 0.000
3.311 3.311 2.538
ATOMIC_POSITIONS crystal
Ni 0.500 0.500 0.000
Ni 0.250 0.750 0.500
Ge 0.000 0.000 0.000
Ge 0.750 0.250 0.500
Mn 0.616 0.125 0.250
Mn 0.134 0.625 0.250
Mn 0.375 0.384 0.750
Mn 0.875 0.866 0.750
```

Summary:
E_form ... 0.3032 eV per atom
E ... -6.88 eV/atom
SG ... No. 122
Theoretical density ... 7.2 g/cm3
Density of states at the Fermi level ... 0.926 states/eV per atom

=====

No. 7
Density functional theory data (PBE) for crystalline Ce2CdB at its relaxed geometry. Values from VASP.

Cell and atoms, written as Quantum ESPRESSO input:
```
&SYSTEM
  ibrav = 0, nat = 4, ntyp = 3
/
ATOMIC_SPECIES
B 10.81 B.upf
Ce 140.12 Ce.upf
Cd 112.41 Cd.upf
CELL_PARAMETERS angstrom
-1.262 -2.815 -1.625
1.413 -1.056 -3.008
6.392 -7.013 3.443
ATOMIC_POSITIONS crystal
B 0.500 0.500 0.500
Ce 0.115 0.115 0.654
Ce 0.885 0.885 0.346
Cd 0.000 0.000 0.000
```

Summary:
E_form ... 0.1736 eV per atom
E ... -4.69 eV/atom
SG ... No. 166
Theoretical density ... 6.4 g/cm3
Density of states at the Fermi level ... 1.830 states/eV per atom

=====

No. 8
Density functional theory data (PBE) for crystalline Ca2YIr at its relaxed geometry. Values from VASP.

Cell and atoms, written as Quantum ESPRESSO input:
```
&SYSTEM
  ibrav = 0, nat = 4, ntyp = 3
/
ATOMIC_SPECIES
Y 88.91 Y.upf
Ca 40.08 Ca.upf
Ir 192.22 Ir.upf
CELL_PARAMETERS angstrom
-4.203 -4.924 -0.466
-0.081 -4.343 4.823
-0.797 6.208 -1.719
ATOMIC_POSITIONS crystal
Y 0.317 0.817 0.500
Ca 0.003 0.003 0.000
Ca 0.689 0.189 0.500
Ir 0.491 0.491 0.000
```

Summary:
E_form ... -0.2371 eV per atom
E ... -5.07 eV/atom
SG ... No. 44
Theoretical density ... 5.2 g/cm3
Polymorph energy (0 for the lowest one) ... 0.080 eV/atom
Density of states at the Fermi level ... 1.004 states/eV per atom

=====

No. 9
Density functional theory data (PBE) for crystalline K5Cu3As3 at its relaxed geometry. Values from VASP.

Cell and atoms, written as Quantum ESPRESSO input:
```
&SYSTEM
  ibrav = 0, nat = 11, ntyp = 3
/
ATOMIC_SPECIES
K 39.10 K.upf
Cu 63.55 Cu.upf
As 74.92 As.upf
CELL_PARAMETERS angstrom
4.426 0.000 0.000
0.000 8.903 -5.140
0.000 0.000 10.280
ATOMIC_POSITIONS crystal
K 0.500 0.333 0.667
K 0.500 0.667 0.333
K 0.500 0.261 0.261
K 0.500 0.000 0.739
K 0.500 0.739 0.000
Cu 0.000 0.671 0.671
Cu 0.000 0.329 0.000
Cu 0.000 0.000 0.329
As 0.500 0.625 0.625
As 0.500 0.000 0.375
As 0.500 0.375 0.000
```

Summary:
E_form ... -0.2074 eV per atom
E ... -3.09 eV/atom
SG ... No. 189
Theoretical density ... 2.5 g/cm3
Density of states at the Fermi level ... 0.377 states/eV per atom

=====

No. 10
Density functional theory data (PBE) for crystalline CaLa3Ho at its relaxed geometry. Values from VASP.

Cell and atoms, written as Quantum ESPRESSO input:
```
&SYSTEM
  ibrav = 0, nat = 10, ntyp = 3
/
ATOMIC_SPECIES
Ca 40.08 Ca.upf
La 138.91 La.upf
Ho 164.93 Ho.upf
CELL_PARAMETERS angstrom
6.355 -0.438 -0.513
-3.592 5.261 -0.513
1.043 1.820 11.370
ATOMIC_POSITIONS crystal
Ca 0.657 0.343 0.500
Ca 0.343 0.657 0.500
La 0.651 0.349 0.190
La 0.000 0.000 0.692
La 0.651 0.349 0.810
La 0.349 0.651 0.190
La 0.000 0.000 0.308
La 0.349 0.651 0.810
Ho 0.860 0.140 0.000
Ho 0.140 0.860 0.000
```

Summary:
E_form ... 0.1392 eV per atom
E ... -4.13 eV/atom
SG ... No. 65
Theoretical density ... 5.5 g/cm3
Density of states at the Fermi level ... 1.547 states/eV per atom

=====

No. 11
Density functional theory data (PBE) for crystalline Li2TaPd4 at its relaxed geometry. Values from VASP.

Cell and atoms, written as Quantum ESPRESSO input:
```
&SYSTEM
  ibrav = 0, nat = 14, ntyp = 3
/
ATOMIC_SPECIES
Li 6.94 Li.upf
Ta 180.95 Ta.upf
Pd 106.42 Pd.upf
CELL_PARAMETERS angstrom
6.763 0.358 -0.687
-0.518 5.511 -0.466
-3.560 -3.613 6.378
ATOMIC_POSITIONS crystal
Li 0.587 0.472 0.594
Li 0.710 0.808 0.313
Li 0.710 0.301 0.310
Li 0.047 0.387 0.779
Ta 0.194 0.712 0.492
Ta 0.876 0.076 0.021
Pd 0.148 0.193 0.457
Pd 0.300 0.438 0.187
Pd 0.011 0.853 0.728
Pd 0.598 0.009 0.608
Pd 0.287 0.929 0.163
Pd 0.452 0.235 0.895
Pd 0.457 0.738 0.891
Pd 0.874 0.600 0.061
```

Summary:
E_form ... -0.3659 eV per atom
E ... -5.57 eV/atom
SG ... No. 1
Theoretical density ... 9.7 g/cm3
Polymorph energy (0 for the lowest one) ... 0.000 eV/atom
Density of states at the Fermi level ... 0.411 states/eV per atom